DFT (PBE) results for an optimized crystal structure of Mg2Mo3.

- E_tot: -6.220 eV/atom

a = 5.4791 Å, b = 5.4791 Å, c = 5.4791 Å
α = 92.81°, β = 92.81°, γ = 92.81°
Element x y z (fractional)
Mg (0.1247, 0.1247, 0.1247)
Mg (0.3753, 0.3753, 0.3753)
Mg (0.6247, 0.6247, 0.6247)
Mg (0.8753, 0.8753, 0.8753)
Mo (0.0798, 0.7500, 0.4202)
Mo (0.2500, 0.5798, 0.9202)
Mo (0.4202, 0.0798, 0.7500)
Mo (0.5798, 0.9202, 0.2500)
Mo (0.7500, 0.4202, 0.0798)
Mo (0.9202, 0.2500, 0.5798)



DFT (PBE) results for an optimized crystal structure of MgMo.

- Relative energy among the computed polymorphs: 230 meV/atom

a = 5.7691 Å, b = 5.7691 Å, c = 4.7400 Å
α = 90.00°, β = 90.00°, γ = 120.00°
Element x y z (fractional)
Mg (0.0000, 0.0000, 0.0000)
Mg (0.1729, 0.3458, 0.5000)
Mg (0.1729, 0.8271, 0.5000)
Mg (0.6542, 0.8271, 0.5000)
Mo (0.0060, 0.5030, 0.0000)
Mo (0.4970, 0.5030, 0.0000)
Mo (0.4970, 0.9940, 0.0000)
Mo (0.6667, 0.3333, 0.5000)



DFT (PBE) results for an optimized crystal structure of Mg4Mo3.

- Relative energy among the computed polymorphs: 91 meV/atom

a = 7.7939 Å, b = 7.7939 Å, c = 4.7582 Å
α = 90.00°, β = 90.00°, γ = 120.00°
Element x y z (fractional)
Mg (0.0770, 0.2557, 0.2500)
Mg (0.1787, 0.9230, 0.2500)
Mg (0.2557, 0.1787, 0.7500)
Mg (0.3333, 0.6667, 0.2500)
Mg (0.6667, 0.3333, 0.7500)
Mg (0.7443, 0.8213, 0.2500)
Mg (0.8213, 0.0770, 0.7500)
Mg (0.9230, 0.7443, 0.7500)
Mo (0.1105, 0.5177, 0.7500)
Mo (0.4073, 0.8895, 0.7500)
Mo (0.4823, 0.5927, 0.7500)
Mo (0.5177, 0.4073, 0.2500)
Mo (0.5927, 0.1105, 0.2500)
Mo (0.8895, 0.4823, 0.2500)



DFT (PBE) results for an optimized crystal structure of MgMo.

- Relative energy among the computed polymorphs: 21 meV/atom

a = 5.7393 Å, b = 4.4770 Å, c = 8.3039 Å
α = 90.00°, β = 92.27°, γ = 90.00°
Element x y z (fractional)
Mg (0.0949, 0.2500, 0.4191)
Mg (0.2702, 0.7500, 0.2343)
Mg (0.4031, 0.7500, 0.6037)
Mg (0.5969, 0.2500, 0.3963)
Mg (0.7298, 0.2500, 0.7657)
Mg (0.9051, 0.7500, 0.5809)
Mo (0.0698, 0.7500, 0.9101)
Mo (0.2255, 0.2500, 0.7829)
Mo (0.4238, 0.2500, 0.0565)
Mo (0.5762, 0.7500, 0.9435)
Mo (0.7745, 0.7500, 0.2171)
Mo (0.9302, 0.2500, 0.0899)



DFT (PBE) results for an optimized crystal structure of MgMo.

- Relative energy among the computed polymorphs: 202 meV/atom

a = 2.6796 Å, b = 4.7410 Å, c = 5.4417 Å
α = 90.00°, β = 90.00°, γ = 90.00°
Element x y z (fractional)
Mg (0.2500, 0.2500, 0.1016)
Mg (0.7500, 0.7500, 0.8984)
Mo (0.2500, 0.7500, 0.4087)
Mo (0.7500, 0.2500, 0.5913)



DFT (PBE) results for an optimized crystal structure of MgMo.

- Relative energy among the computed polymorphs: 111 meV/atom

a = 4.6082 Å, b = 4.7254 Å, c = 9.5340 Å
α = 90.00°, β = 90.03°, γ = 90.00°
Element x y z (fractional)
Mg (0.0000, 0.0000, 0.0000)
Mg (0.0034, 0.0000, 0.6590)
Mg (0.4935, 0.5000, 0.9966)
Mg (0.4995, 0.0000, 0.4850)
Mg (0.5036, 0.0000, 0.8256)
Mg (0.9926, 0.5000, 0.4882)
Mo (0.4901, 0.5000, 0.6703)
Mo (0.4935, 0.5000, 0.3094)
Mo (0.4994, 0.0000, 0.1795)
Mo (0.9915, 0.5000, 0.8143)
Mo (0.9950, 0.5000, 0.1753)
Mo (0.9975, 0.0000, 0.3054)



DFT (PBE) results for an optimized crystal structure of MgMo.

- Relative energy among the computed polymorphs: 191 meV/atom

a = 4.6919 Å, b = 7.5716 Å, c = 7.5716 Å
α = 140.34°, β = 90.00°, γ = 90.00°
Element x y z (fractional)
Mg (0.0000, 0.0000, 0.0000)
Mg (0.0000, 0.3895, 0.5879)
Mg (0.0000, 0.5879, 0.3895)
Mg (0.5000, 0.6938, 0.8961)
Mg (0.5000, 0.8961, 0.6938)
Mo (0.0000, 0.2303, 0.8166)
Mo (0.0000, 0.8166, 0.2303)
Mo (0.5000, 0.0875, 0.4886)
Mo (0.5000, 0.2903, 0.2903)
Mo (0.5000, 0.4886, 0.0875)



DFT (PBE) results for an optimized crystal structure of MgMo.

- Relative energy among the computed polymorphs: 193 meV/atom

a = 4.6756 Å, b = 11.8055 Å, c = 5.1999 Å
α = 90.00°, β = 90.00°, γ = 90.00°
Element x y z (fractional)
Mg (0.2500, 0.9997, 0.1764)
Mg (0.2500, 0.1257, 0.6518)
Mg (0.2500, 0.3743, 0.6518)
Mg (0.2500, 0.5003, 0.1764)
Mg (0.7500, 0.0003, 0.8236)
Mg (0.7500, 0.4997, 0.8236)
Mg (0.7500, 0.6257, 0.3482)
Mg (0.7500, 0.8743, 0.3482)
Mo (0.2500, 0.2500, 0.1338)
Mo (0.2500, 0.6507, 0.6623)
Mo (0.2500, 0.7500, 0.1864)
Mo (0.2500, 0.8493, 0.6623)
Mo (0.7500, 0.1507, 0.3377)
Mo (0.7500, 0.2500, 0.8136)
Mo (0.7500, 0.3493, 0.3377)
Mo (0.7500, 0.7500, 0.8662)



DFT (PBE) results for an optimized crystal structure of MgMo.

- Relative energy among the computed polymorphs: 126 meV/atom

a = 4.5659 Å, b = 4.5594 Å, c = 6.4416 Å
α = 90.00°, β = 90.00°, γ = 90.00°
Element x y z (fractional)
Mg (0.0031, 0.2500, 0.1250)
Mg (0.4969, 0.7500, 0.6250)
Mg (0.5031, 0.2500, 0.3750)
Mg (0.9969, 0.7500, 0.8750)
Mo (0.0019, 0.2500, 0.6252)
Mo (0.4981, 0.7500, 0.1252)
Mo (0.5019, 0.2500, 0.8748)
Mo (0.9981, 0.7500, 0.3748)



DFT (PBE) results for an optimized crystal structure of MgMo.

- Relative energy among the computed polymorphs: 91 meV/atom

a = 5.6314 Å, b = 16.0545 Å, c = 4.6118 Å
α = 90.00°, β = 90.00°, γ = 90.00°
Element x y z (fractional)
Mg (0.0655, 0.1974, 0.2500)
Mg (0.0655, 0.3026, 0.7500)
Mg (0.2219, 0.6225, 0.7500)
Mg (0.2219, 0.8775, 0.2500)
Mg (0.2974, 0.1288, 0.7500)
Mg (0.2974, 0.3712, 0.2500)
Mg (0.7026, 0.6288, 0.7500)
Mg (0.7026, 0.8712, 0.2500)
Mg (0.7781, 0.1225, 0.7500)
Mg (0.7781, 0.3775, 0.2500)
Mg (0.9345, 0.6974, 0.2500)
Mg (0.9345, 0.8026, 0.7500)
Mo (0.0852, 0.5302, 0.2500)
Mo (0.0852, 0.9698, 0.7500)
Mo (0.4344, 0.7070, 0.2500)
Mo (0.4344, 0.7930, 0.7500)
Mo (0.4519, 0.0406, 0.2500)
Mo (0.4519, 0.4594, 0.7500)
Mo (0.5481, 0.5406, 0.2500)
Mo (0.5481, 0.9594, 0.7500)
Mo (0.5656, 0.2070, 0.2500)
Mo (0.5656, 0.2930, 0.7500)
Mo (0.9148, 0.0302, 0.2500)
Mo (0.9148, 0.4698, 0.7500)



DFT (PBE) results for an optimized crystal structure of MgMo.

- Relative energy among the computed polymorphs: 138 meV/atom

a = 5.6890 Å, b = 4.6022 Å, c = 8.5002 Å
α = 90.00°, β = 108.84°, γ = 90.00°
Element x y z (fractional)
Mg (0.0627, 0.2500, 0.4306)
Mg (0.2314, 0.2500, 0.0812)
Mg (0.2604, 0.7500, 0.8982)
Mg (0.7396, 0.2500, 0.1018)
Mg (0.7686, 0.7500, 0.9188)
Mg (0.9373, 0.7500, 0.5694)
Mo (0.1661, 0.7500, 0.2658)
Mo (0.4154, 0.2500, 0.7486)
Mo (0.4420, 0.7500, 0.5762)
Mo (0.5580, 0.2500, 0.4238)
Mo (0.5846, 0.7500, 0.2514)
Mo (0.8339, 0.2500, 0.7342)



DFT (PBE) results for an optimized crystal structure of MgMo.

- Relative energy among the computed polymorphs: 134 meV/atom

a = 5.2667 Å, b = 4.6545 Å, c = 7.7713 Å
α = 90.00°, β = 109.72°, γ = 90.00°
Element x y z (fractional)
Mg (0.0000, 0.0000, 0.0000)
Mg (0.0658, 0.5000, 0.7858)
Mg (0.1692, 0.0000, 0.3930)
Mg (0.3930, 0.0000, 0.7859)
Mg (0.6726, 0.5000, 0.9997)
Mo (0.3083, 0.5000, 0.2169)
Mo (0.4849, 0.5000, 0.5684)
Mo (0.5812, 0.0000, 0.2203)
Mo (0.7545, 0.0000, 0.5658)
Mo (0.8352, 0.5000, 0.3927)



DFT (PBE) results for an optimized crystal structure of MgMo.

- Relative energy among the computed polymorphs: 137 meV/atom

a = 2.7428 Å, b = 4.6704 Å, c = 11.0784 Å
α = 90.00°, β = 90.00°, γ = 90.00°
Element x y z (fractional)
Mg (0.2500, 0.2500, 0.0659)
Mg (0.2500, 0.7500, 0.2104)
Mg (0.7500, 0.2500, 0.7896)
Mg (0.7500, 0.7500, 0.9341)
Mo (0.2500, 0.2500, 0.5566)
Mo (0.2500, 0.7500, 0.6804)
Mo (0.7500, 0.2500, 0.3196)
Mo (0.7500, 0.7500, 0.4434)



DFT (PBE) results for an optimized crystal structure of Mg2MoWN4.

- E_tot: -8.421 eV/atom

a = 2.9186 Å, b = 2.9186 Å, c = 10.5472 Å
α = 90.00°, β = 90.00°, γ = 120.00°
Element x y z (fractional)
Mg (0.0000, 0.0000, 0.2498)
Mg (0.0000, 0.0000, 0.7502)
Mo (0.6667, 0.3333, 0.0000)
W (0.3333, 0.6667, 0.5000)
N (0.3333, 0.6667, 0.1234)
N (0.3333, 0.6667, 0.8766)
N (0.6667, 0.3333, 0.3764)
N (0.6667, 0.3333, 0.6236)



DFT (PBE) results for an optimized crystal structure of MgZnMo2N4.

- Relative energy among the computed polymorphs: 0 meV/atom

a = 2.9091 Å, b = 2.9091 Å, c = 10.8640 Å
α = 90.00°, β = 90.00°, γ = 120.00°
Element x y z (fractional)
Mg (0.0000, 0.0000, 0.0000)
Zn (0.0000, 0.0000, 0.5000)
Mo (0.0000, 0.0000, 0.2499)
Mo (0.0000, 0.0000, 0.7501)
N (0.3333, 0.6667, 0.6304)
N (0.3333, 0.6667, 0.8715)
N (0.6667, 0.3333, 0.1285)
N (0.6667, 0.3333, 0.3696)



DFT (PBE) results for an optimized crystal structure of MgZnMo2N4.

- Relative energy among the computed polymorphs: 296 meV/atom

a = 5.6654 Å, b = 5.6654 Å, c = 5.6654 Å
α = 130.95°, β = 130.95°, γ = 71.90°
Element x y z (fractional)
Mg (0.0000, 0.0000, 0.0000)
Zn (0.7500, 0.2500, 0.5000)
Mo (0.2500, 0.7500, 0.5000)
Mo (0.5000, 0.5000, 0.0000)
N (0.1427, 0.6191, 0.0166)
N (0.3809, 0.3975, 0.5236)
N (0.6025, 0.1261, 0.9834)
N (0.8739, 0.8573, 0.4764)



DFT (PBE) results for an optimized crystal structure of Na2MgMoS4.

- E_tot: -4.811 eV/atom

a = 6.6687 Å, b = 6.6687 Å, c = 6.4343 Å
α = 118.83°, β = 118.83°, γ = 93.98°
Element x y z (fractional)
Na (0.0000, 0.0000, 0.0000)
Na (0.7508, 0.2492, 0.5000)
Mg (0.2500, 0.7500, 0.5000)
Mo (0.5003, 0.4997, 0.0000)
S (0.1815, 0.4292, 0.0404)
S (0.3893, 0.1410, 0.5702)
S (0.5708, 0.8185, 0.9596)
S (0.8590, 0.6107, 0.4298)



DFT (PBE) results for an optimized crystal structure of Na2MgMoS4.

- E_tot: -4.812 eV/atom

a = 6.7464 Å, b = 6.7464 Å, c = 6.7464 Å
α = 123.69°, β = 123.69°, γ = 83.72°
Element x y z (fractional)
Na (0.0000, 0.0000, 0.0000)
Na (0.7500, 0.2500, 0.5000)
Mg (0.2500, 0.7500, 0.5000)
Mo (0.5000, 0.5000, 0.0000)
S (0.1819, 0.6124, 0.0403)
S (0.3876, 0.4280, 0.5695)
S (0.5720, 0.1416, 0.9597)
S (0.8584, 0.8181, 0.4305)



DFT (PBE) results for an optimized crystal structure of MgNbMo.

- Relative energy among the computed polymorphs: 0 meV/atom

a = 4.4554 Å, b = 4.4554 Å, c = 4.4554 Å
α = 60.00°, β = 60.00°, γ = 60.00°
Element x y z (fractional)
Mg (0.0000, 0.0000, 0.0000)
Nb (0.5000, 0.5000, 0.5000)
Mo (0.2500, 0.2500, 0.2500)



DFT (PBE) results for an optimized crystal structure of MgTaNbMo.

- Relative energy among the computed polymorphs: 89 meV/atom

a = 4.6369 Å, b = 4.6369 Å, c = 4.6369 Å
α = 60.00°, β = 60.00°, γ = 60.00°
Element x y z (fractional)
Mg (0.0000, 0.0000, 0.0000)
Ta (0.5000, 0.5000, 0.5000)
Nb (0.2500, 0.2500, 0.2500)
Mo (0.7500, 0.7500, 0.7500)